# CoNiOs2

CoNiOs2 after structural relaxation (PBE, the Alexandria database).

Computed properties:
Magnetic moment in μB per formula unit: 1.2
Energy of formation from the pure elements in eV per atom: 0.126
E_tot in eV per formula unit: -34.8
Energy above the most stable polymorph in this dataset in eV/atom: 0.000

Lattice parameters (Å, degrees): 4.5413 4.5413 4.5413 132.17 132.18 69.95
Site moments in Bohr magnetons follow the coordinates.
Positions (direct):
1 Co 0.5001 0.5001 0.0000  0.87
2 Ni 0.2499 0.7499 0.5000  0.20
3 Os 0.0000 0.0000 0.0000  0.05
4 Os 0.7500 0.2500 0.5000  0.10